No. 1
# LiAg2B

An optimized crystal structure of LiAg2B (GGA-PBE, Alexandria).

a b c (Å): 5.310 5.310 7.664
angles (deg): 69.73 69.73 90.00
Sites, in units of the cell vectors:
1 B 0.000 0.000 0.000
2 B 0.750 0.250 0.500
3 Ag 0.874 0.125 0.250
4 Ag 0.876 0.625 0.250
5 Ag 0.375 0.126 0.750
6 Ag 0.875 0.124 0.750
7 Li 0.500 0.500 0.000
8 Li 0.250 0.750 0.500

Summary:
The calculation puts the formation energy at 695 meV/atom. As for the space-group type: No. 122. The value obtained for the energy is -23.03 eV/cell. For the calculated volume, the calculation gives 23.55 Å³ per atom.


No. 2
# LiAg3B

An optimized crystal structure of LiAg3B (GGA-PBE, Alexandria).

a b c (Å): 4.374 4.374 4.374
angles (deg): 90.00 90.00 90.00
Sites, in units of the cell vectors:
1 B 0.000 0.000 0.000
2 Ag 0.000 0.500 0.000
3 Ag 0.000 0.000 0.500
4 Ag 0.500 0.000 0.000
5 Li 0.500 0.500 0.500

Summary:
The calculation puts the formation energy at 224 meV/atom. As for the space-group type: No. 221. The value obtained for the energy is -16.02 eV/cell. The calculation puts the energy above the most stable polymorph in this dataset at 0.000 eV/atom. For the calculated volume, the calculation gives 16.73 Å³ per atom.


No. 3
# Li2AgB

An optimized crystal structure of Li2AgB (GGA-PBE, Alexandria).

a b c (Å): 6.984 6.984 5.420
angles (deg): 49.89 49.89 90.00
Sites, in units of the cell vectors:
1 B 0.500 0.500 0.000
2 B 0.250 0.750 0.500
3 Ag 0.000 0.000 0.000
4 Ag 0.750 0.250 0.500
5 Li 0.564 0.125 0.250
6 Li 0.186 0.625 0.250
7 Li 0.375 0.436 0.750
8 Li 0.875 0.814 0.750

Summary:
The calculation puts the formation energy at 438 meV/atom. As for the space-group type: No. 122. The value obtained for the energy is -23.21 eV/cell. For the calculated volume, the calculation gives 13.62 Å³ per atom.


No. 4
# LiAgB2

An optimized crystal structure of LiAgB2 (GGA-PBE, Alexandria).

a b c (Å): 3.438 3.438 8.663
angles (deg): 78.55 78.55 90.00
Sites, in units of the cell vectors:
1 B 0.875 0.125 0.250
2 B 0.875 0.625 0.250
3 B 0.375 0.125 0.750
4 B 0.875 0.125 0.750
5 Ag 0.000 0.000 0.000
6 Ag 0.750 0.250 0.500
7 Li 0.500 0.500 0.000
8 Li 0.250 0.750 0.500

Summary:
The calculation puts the formation energy at 464 meV/atom. As for the space-group type: No. 141. The value obtained for the energy is -32.52 eV/cell. The calculation puts the energy above the most stable polymorph in this dataset at 0.000 eV/atom. For the calculated volume, the calculation gives 12.29 Å³ per atom.


No. 5
# Li3AgB

An optimized crystal structure of Li3AgB (GGA-PBE, Alexandria).

a b c (Å): 4.731 4.731 4.731
angles (deg): 90.00 90.00 90.00
Sites, in units of the cell vectors:
1 B 0.500 0.500 0.500
2 Ag 0.000 0.000 0.000
3 Li 0.000 0.500 0.000
4 Li 0.000 0.000 0.500
5 Li 0.500 0.000 0.000

Summary:
The calculation puts the formation energy at 967 meV/atom. As for the space-group type: No. 221. The value obtained for the energy is -10.43 eV/cell. The calculation puts the energy above the most stable polymorph in this dataset at 0.508 eV/atom. For the calculated volume, the calculation gives 21.18 Å³ per atom.


No. 6
# LiAgB2

An optimized crystal structure of LiAgB2 (GGA-PBE, Alexandria).

a b c (Å): 3.893 3.893 3.893
angles (deg): 60.00 60.00 60.00
Sites, in units of the cell vectors:
1 B 0.250 0.250 0.250
2 B 0.750 0.750 0.750
3 Ag 0.500 0.500 0.500
4 Li 0.000 0.000 0.000

Summary:
The calculation puts the formation energy at 988 meV/atom. As for the space-group type: No. 225. The value obtained for the energy is -14.17 eV/cell. The calculation puts the energy above the most stable polymorph in this dataset at 0.524 eV/atom. For the calculated volume, the calculation gives 10.43 Å³ per atom.


No. 7
# LiAg2BMo

An optimized crystal structure of LiAg2BMo (GGA-PBE, Alexandria).

a b c (Å): 4.182 4.117 4.182
angles (deg): 90.00 90.00 90.00
Sites, in units of the cell vectors:
1 Mo 0.500 0.500 0.500
2 B 0.000 0.500 0.000
3 Ag 0.000 0.000 0.500
4 Ag 0.500 0.000 0.000
5 Li 0.000 0.000 0.000

Summary:
The calculation puts the formation energy at 1280 meV/atom. As for the space-group type: No. 123. The value obtained for the energy is -18.72 eV/cell. For the calculated volume, the calculation gives 14.40 Å³ per atom.


No. 8
# Li2AgBMo

An optimized crystal structure of Li2AgBMo (GGA-PBE, Alexandria).

a b c (Å): 4.176 4.176 4.176
angles (deg): 90.00 90.00 90.00
Site moments in Bohr magnetons follow the coordinates.
Sites, in units of the cell vectors:
1 Mo 0.000 0.500 0.000  0.88
2 B 0.000 0.000 0.000  -0.07
3 Ag 0.500 0.500 0.500  0.06
4 Li 0.000 0.000 0.500  -0.01
5 Li 0.500 0.000 0.000  0.00

Summary:
The calculation puts the formation energy at 429 meV/atom. As for the space-group type: No. 123. The value obtained for the energy is -22.04 eV/cell. For the calculated volume, the calculation gives 14.56 Å³ per atom.